Entry 1:
# PBE LiPm2Pt4, optimized geometry
# E_form in eV per atom: -0.758
# Space group: Fmmm (69)
# DOS at the Fermi energy in states/eV/f.u.: 1.80
data_LiPm2Pt4
_chemical_formula_sum 'Li1 Pm2 Pt4'
_space_group_name_H-M_alt 'P 1'
_space_group_IT_number 1
_cell_length_a 6.081
_cell_length_b 5.966
_cell_length_c 5.959
_cell_angle_alpha 61.32
_cell_angle_beta 59.40
_cell_angle_gamma 59.28
loop_
_space_group_symop_operation_xyz
'x,y,z'
loop_
_atom_site_label
_atom_site_type_symbol
_atom_site_fract_x
_atom_site_fract_y
_atom_site_fract_z
Li1 Li 0.000 0.000 0.000
Pm1 Pm 0.250 0.250 0.250
Pm2 Pm 0.750 0.750 0.750
Pt1 Pt 0.277 0.277 0.723
Pt2 Pt 0.278 0.722 0.278
Pt3 Pt 0.722 0.278 0.722
Pt4 Pt 0.723 0.723 0.277

***

Entry 2:
# PBE LiPm4Pt5, optimized geometry
# E_form in eV per atom: -0.996
# Space group: P4/mmm (123)
# DOS at the Fermi energy in states/eV/f.u.: 3.29
data_LiPm4Pt5
_chemical_formula_sum 'Li1 Pm4 Pt5'
_space_group_name_H-M_alt 'P 1'
_space_group_IT_number 1
_cell_length_a 3.542
_cell_length_b 3.542
_cell_length_c 17.012
_cell_angle_alpha 90.00
_cell_angle_beta 90.00
_cell_angle_gamma 90.00
loop_
_space_group_symop_operation_xyz
'x,y,z'
loop_
_atom_site_label
_atom_site_type_symbol
_atom_site_fract_x
_atom_site_fract_y
_atom_site_fract_z
Li1 Li 0.000 0.000 0.000
Pm1 Pm 0.000 0.000 0.177
Pm2 Pm 0.000 0.000 0.393
Pm3 Pm 0.000 0.000 0.607
Pm4 Pm 0.000 0.000 0.823
Pt1 Pt 0.500 0.500 0.081
Pt2 Pt 0.500 0.500 0.287
Pt3 Pt 0.500 0.500 0.500
Pt4 Pt 0.500 0.500 0.713
Pt5 Pt 0.500 0.500 0.919

***

Entry 3:
# PBE LiPmPuPt, optimized geometry
# E_form in eV per atom: -0.405
# Space group: F-43m (216)
# DOS at the Fermi energy in states/eV/f.u.: 6.43
data_LiPmPuPt
_chemical_formula_sum 'Li4 Pm4 Pu4 Pt4'
_space_group_name_H-M_alt 'P 1'
_space_group_IT_number 1
_cell_length_a 7.132
_cell_length_b 7.132
_cell_length_c 7.132
_cell_angle_alpha 90.00
_cell_angle_beta 90.00
_cell_angle_gamma 90.00
loop_
_space_group_symop_operation_xyz
'x,y,z'
loop_
_atom_site_label
_atom_site_type_symbol
_atom_site_fract_x
_atom_site_fract_y
_atom_site_fract_z
Li1 Li 0.000 0.000 0.000
Li2 Li 0.000 0.500 0.500
Li3 Li 0.500 0.000 0.500
Li4 Li 0.500 0.500 0.000
Pm1 Pm 0.250 0.250 0.750
Pm2 Pm 0.250 0.750 0.250
Pm3 Pm 0.750 0.250 0.250
Pm4 Pm 0.750 0.750 0.750
Pu1 Pu 0.250 0.250 0.250
Pu2 Pu 0.250 0.750 0.750
Pu3 Pu 0.750 0.250 0.750
Pu4 Pu 0.750 0.750 0.250
Pt1 Pt 0.000 0.000 0.500
Pt2 Pt 0.000 0.500 0.000
Pt3 Pt 0.500 0.000 0.000
Pt4 Pt 0.500 0.500 0.500

***

Entry 4:
# PBE Li2PmPuPt2, optimized geometry
# E_form in eV per atom: -0.630
# Space group: P-3m1 (164)
# DOS at the Fermi energy in states/eV/f.u.: 11.92
data_Li2PmPuPt2
_chemical_formula_sum 'Li2 Pm1 Pu1 Pt2'
_space_group_name_H-M_alt 'P 1'
_space_group_IT_number 1
_cell_length_a 4.431
_cell_length_b 4.431
_cell_length_c 7.028
_cell_angle_alpha 90.00
_cell_angle_beta 90.00
_cell_angle_gamma 120.00
loop_
_space_group_symop_operation_xyz
'x,y,z'
loop_
_atom_site_label
_atom_site_type_symbol
_atom_site_fract_x
_atom_site_fract_y
_atom_site_fract_z
Li1 Li 0.333 0.667 0.263
Li2 Li 0.667 0.333 0.737
Pm1 Pm 0.000 0.000 0.000
Pu1 Pu 0.000 0.000 0.500
Pt1 Pt 0.333 0.667 0.732
Pt2 Pt 0.667 0.333 0.268

***

Entry 5:
# PBE LiPmSbPt, optimized geometry
# Space group: F-43m (216)
# Total energy in eV/f.u.: -19.8
# DOS at the Fermi energy in states/eV/f.u.: 2.76
data_LiPmSbPt
_chemical_formula_sum 'Li4 Pm4 Sb4 Pt4'
_space_group_name_H-M_alt 'P 1'
_space_group_IT_number 1
_cell_length_a 6.915
_cell_length_b 6.915
_cell_length_c 6.915
_cell_angle_alpha 90.00
_cell_angle_beta 90.00
_cell_angle_gamma 90.00
loop_
_space_group_symop_operation_xyz
'x,y,z'
loop_
_atom_site_label
_atom_site_type_symbol
_atom_site_fract_x
_atom_site_fract_y
_atom_site_fract_z
Li1 Li 0.000 0.000 0.000
Li2 Li 0.000 0.500 0.500
Li3 Li 0.500 0.000 0.500
Li4 Li 0.500 0.500 0.000
Pm1 Pm 0.250 0.250 0.750
Pm2 Pm 0.250 0.750 0.250
Pm3 Pm 0.750 0.250 0.250
Pm4 Pm 0.750 0.750 0.750
Sb1 Sb 0.250 0.250 0.250
Sb2 Sb 0.250 0.750 0.750
Sb3 Sb 0.750 0.250 0.750
Sb4 Sb 0.750 0.750 0.250
Pt1 Pt 0.000 0.000 0.500
Pt2 Pt 0.000 0.500 0.000
Pt3 Pt 0.500 0.000 0.000
Pt4 Pt 0.500 0.500 0.500

***

Entry 6:
# PBE LiPm2Sb4Pt3, optimized geometry
# Space group: P-4m2 (115)
# Total energy in eV/f.u.: -54.1
# DOS at the Fermi energy in states/eV/f.u.: 2.71
data_LiPm2Sb4Pt3
_chemical_formula_sum 'Li1 Pm2 Sb4 Pt3'
_space_group_name_H-M_alt 'P 1'
_space_group_IT_number 1
_cell_length_a 4.449
_cell_length_b 4.449
_cell_length_c 11.475
_cell_angle_alpha 90.00
_cell_angle_beta 90.00
_cell_angle_gamma 90.00
loop_
_space_group_symop_operation_xyz
'x,y,z'
loop_
_atom_site_label
_atom_site_type_symbol
_atom_site_fract_x
_atom_site_fract_y
_atom_site_fract_z
Li1 Li 0.000 0.000 0.000
Pm1 Pm 0.000 0.500 0.763
Pm2 Pm 0.500 0.000 0.237
Sb1 Sb 0.000 0.000 0.500
Sb2 Sb 0.000 0.500 0.132
Sb3 Sb 0.500 0.000 0.868
Sb4 Sb 0.500 0.500 0.500
Pt1 Pt 0.000 0.500 0.358
Pt2 Pt 0.500 0.000 0.642
Pt3 Pt 0.500 0.500 0.000

***

Entry 7:
# PBE LiPm2Sb3Pt4, optimized geometry
# Space group: P-4m2 (115)
# Total energy in eV/f.u.: -56.5
# DOS at the Fermi energy in states/eV/f.u.: 3.51
data_LiPm2Sb3Pt4
_chemical_formula_sum 'Li1 Pm2 Sb3 Pt4'
_space_group_name_H-M_alt 'P 1'
_space_group_IT_number 1
_cell_length_a 4.518
_cell_length_b 4.518
_cell_length_c 10.621
_cell_angle_alpha 90.00
_cell_angle_beta 90.00
_cell_angle_gamma 90.00
loop_
_space_group_symop_operation_xyz
'x,y,z'
loop_
_atom_site_label
_atom_site_type_symbol
_atom_site_fract_x
_atom_site_fract_y
_atom_site_fract_z
Li1 Li 0.000 0.000 0.000
Pm1 Pm 0.000 0.500 0.738
Pm2 Pm 0.500 0.000 0.262
Sb1 Sb 0.000 0.500 0.364
Sb2 Sb 0.500 0.000 0.636
Sb3 Sb 0.500 0.500 0.000
Pt1 Pt 0.000 0.000 0.500
Pt2 Pt 0.000 0.500 0.123
Pt3 Pt 0.500 0.000 0.877
Pt4 Pt 0.500 0.500 0.500

***

Entry 8:
# PBE LiPmScPt2, optimized geometry
# E_form in eV per atom: -0.927
# Space group: I-4m2 (119)
# DOS at the Fermi energy in states/eV/f.u.: 2.77
data_LiPmScPt2
_chemical_formula_sum 'Li2 Pm2 Sc2 Pt4'
_space_group_name_H-M_alt 'P 1'
_space_group_IT_number 1
_cell_length_a 4.024
_cell_length_b 4.024
_cell_length_c 12.576
_cell_angle_alpha 90.00
_cell_angle_beta 90.00
_cell_angle_gamma 90.00
loop_
_space_group_symop_operation_xyz
'x,y,z'
loop_
_atom_site_label
_atom_site_type_symbol
_atom_site_fract_x
_atom_site_fract_y
_atom_site_fract_z
Li1 Li 0.000 0.000 0.000
Li2 Li 0.500 0.500 0.500
Pm1 Pm 0.000 0.500 0.250
Pm2 Pm 0.500 0.000 0.750
Sc1 Sc 0.000 0.000 0.500
Sc2 Sc 0.500 0.500 0.000
Pt1 Pt 0.000 0.500 0.641
Pt2 Pt 0.000 0.500 0.859
Pt3 Pt 0.500 0.000 0.141
Pt4 Pt 0.500 0.000 0.359

***

Entry 9:
# PBE LiPmSc2Pt4, optimized geometry
# E_form in eV per atom: -1.058
# Space group: R-3m (166)
# DOS at the Fermi energy in states/eV/f.u.: 2.86
data_LiPmSc2Pt4
_chemical_formula_sum 'Li1 Pm1 Sc2 Pt4'
_space_group_name_H-M_alt 'P 1'
_space_group_IT_number 1
_cell_length_a 8.808
_cell_length_b 8.808
_cell_length_c 8.808
_cell_angle_alpha 29.93
_cell_angle_beta 29.93
_cell_angle_gamma 29.93
loop_
_space_group_symop_operation_xyz
'x,y,z'
loop_
_atom_site_label
_atom_site_type_symbol
_atom_site_fract_x
_atom_site_fract_y
_atom_site_fract_z
Li1 Li 0.000 0.000 0.000
Pm1 Pm 0.500 0.500 0.500
Sc1 Sc 0.265 0.265 0.265
Sc2 Sc 0.735 0.735 0.735
Pt1 Pt 0.103 0.103 0.103
Pt2 Pt 0.373 0.373 0.373
Pt3 Pt 0.627 0.627 0.627
Pt4 Pt 0.897 0.897 0.897

***

Entry 10:
# PBE LiPmScPt, optimized geometry
# E_form in eV per atom: -0.597
# Space group: F-43m (216)
# DOS at the Fermi energy in states/eV/f.u.: 3.72
data_LiPmScPt
_chemical_formula_sum 'Li4 Pm4 Sc4 Pt4'
_space_group_name_H-M_alt 'P 1'
_space_group_IT_number 1
_cell_length_a 6.945
_cell_length_b 6.945
_cell_length_c 6.945
_cell_angle_alpha 90.00
_cell_angle_beta 90.00
_cell_angle_gamma 90.00
loop_
_space_group_symop_operation_xyz
'x,y,z'
loop_
_atom_site_label
_atom_site_type_symbol
_atom_site_fract_x
_atom_site_fract_y
_atom_site_fract_z
Li1 Li 0.000 0.000 0.000
Li2 Li 0.000 0.500 0.500
Li3 Li 0.500 0.000 0.500
Li4 Li 0.500 0.500 0.000
Pm1 Pm 0.250 0.250 0.250
Pm2 Pm 0.250 0.750 0.750
Pm3 Pm 0.750 0.250 0.750
Pm4 Pm 0.750 0.750 0.250
Sc1 Sc 0.250 0.250 0.750
Sc2 Sc 0.250 0.750 0.250
Sc3 Sc 0.750 0.250 0.250
Sc4 Sc 0.750 0.750 0.750
Pt1 Pt 0.000 0.000 0.500
Pt2 Pt 0.000 0.500 0.000
Pt3 Pt 0.500 0.000 0.000
Pt4 Pt 0.500 0.500 0.500

***

Entry 11:
# PBE LiPmSi2Pt2, optimized geometry
# Space group: P-3m1 (164)
# Total energy in eV/f.u.: -35.4
# DOS at the Fermi energy in states/eV/f.u.: 4.89
data_LiPmSi2Pt2
_chemical_formula_sum 'Li1 Pm1 Si2 Pt2'
_space_group_name_H-M_alt 'P 1'
_space_group_IT_number 1
_cell_length_a 4.222
_cell_length_b 4.222
_cell_length_c 6.794
_cell_angle_alpha 90.00
_cell_angle_beta 90.00
_cell_angle_gamma 120.00
loop_
_space_group_symop_operation_xyz
'x,y,z'
loop_
_atom_site_label
_atom_site_type_symbol
_atom_site_fract_x
_atom_site_fract_y
_atom_site_fract_z
Li1 Li 0.000 0.000 0.000
Pm1 Pm 0.000 0.000 0.500
Si1 Si 0.333 0.667 0.812
Si2 Si 0.667 0.333 0.188
Pt1 Pt 0.333 0.667 0.193
Pt2 Pt 0.667 0.333 0.807

***

Entry 12:
# PBE LiPm2Si3Pt12, optimized geometry
# Space group: R-3m (166)
# Total energy in eV/f.u.: -109.7
# DOS at the Fermi energy in states/eV/f.u.: 5.74
data_LiPm2Si3Pt12
_chemical_formula_sum 'Li1 Pm2 Si3 Pt12'
_space_group_name_H-M_alt 'P 1'
_space_group_IT_number 1
_cell_length_a 7.580
_cell_length_b 7.580
_cell_length_c 7.580
_cell_angle_alpha 65.96
_cell_angle_beta 65.96
_cell_angle_gamma 65.96
loop_
_space_group_symop_operation_xyz
'x,y,z'
loop_
_atom_site_label
_atom_site_type_symbol
_atom_site_fract_x
_atom_site_fract_y
_atom_site_fract_z
Li1 Li 0.000 0.000 0.000
Pm1 Pm 0.383 0.383 0.383
Pm2 Pm 0.617 0.617 0.617
Si1 Si 0.000 0.000 0.500
Si2 Si 0.000 0.500 0.000
Si3 Si 0.500 0.000 0.000
Pt1 Pt 0.105 0.644 0.644
Pt2 Pt 0.129 0.129 0.634
Pt3 Pt 0.129 0.634 0.129
Pt4 Pt 0.356 0.356 0.895
Pt5 Pt 0.356 0.895 0.356
Pt6 Pt 0.366 0.871 0.871
Pt7 Pt 0.634 0.129 0.129
Pt8 Pt 0.644 0.105 0.644
Pt9 Pt 0.644 0.644 0.105
Pt10 Pt 0.871 0.366 0.871
Pt11 Pt 0.871 0.871 0.366
Pt12 Pt 0.895 0.356 0.356

***

no.,M_tot (μB/f.u.)
1,0.0
2,0.0
3,5.8
4,5.7
5,0.0
6,0.0
7,0.0
8,0.0
9,0.0
10,0.0
11,0.0
12,0.0